Record 1
The following is a DFT calculation (GGA-PBE) of a geometry-optimized Nd2Zn15Ge2 structure.

**N(E_F)**: 13.95 states/eV/cell
**ΔE_f**: -0.21 eV per atom

Cell: 9.2898 9.2898 12.9509 Å, 90.00 90.00 120.00°
Space group R-3m (No. 166, hexagonal axes)
Unique sites:
Nd 0.0000 0.0000 0.1687
Zn 0.0000 0.3115 0.5000
Zn 0.0000 0.5000 0.0000
Zn 0.0143 0.5071 0.6575
Ge 0.0000 0.0000 0.4016

***

Record 2
The following is a DFT calculation (GGA-PBE) of a geometry-optimized LiTiSn2 structure.

**Energy relative to the lowest polymorph listed for this composition**: 0.0 meV per atom
**N(E_F)**: 3.07 states/eV/cell
**ΔE_f**: -0.23 eV per atom

Cell: 4.996 4.996 3.194 Å, 90.00 90.00 90.00°
Space group P4/mmm (No. 123)
Unique sites:
Li 0.000 0.000 0.000
Ti 0.500 0.500 0.000
Sn 0.000 0.500 0.500

***

Record 3
The following is a DFT calculation (GGA-PBE) of a geometry-optimized ThCo2Ni5 structure.

**N(E_F)**: 24.13 states/eV/cell
**ΔE_f**: -0.05 eV per atom

Cell: 3.684 6.825 8.718 Å, 90.00 90.00 90.00°
Space group Immm (No. 71)
Unique sites:
Th 0.000 0.000 0.000
Co 0.000 0.500 0.262
Ni 0.000 0.179 0.352
Ni 0.000 0.500 0.000

***

Record 4
The following is a DFT calculation (GGA-PBE) of a geometry-optimized YPtW structure.

**N(E_F)**: 19.91 states/eV/cell
**ΔE_f**: 0.29 eV per atom

Cell: 6.463 6.463 6.463 Å, 90.00 90.00 90.00°
Space group F-43m (No. 216)
Unique sites:
Y 0.000 0.000 0.000
Pt 0.250 0.250 0.750
W 0.000 0.000 0.500

***

Question: What is the N(E_F) in the third record?
Answer: 24.13 states/eV/cell

***

Question: What is the ΔE_f in the second record?
Answer: -0.23 eV per atom